Record 1
# Pm2ErCdHg4

A relaxed structure of Pm2ErCdHg4 (PBE, Alexandria).

Cell lengths 5.2026, 5.2026, 9.2611 Å; angles 73.69, 73.69, 60.00 degrees
Fractional positions:
Pm (0.7422, 0.7422, 0.7735)
Pm (0.2578, 0.2578, 0.2265)
Er (0.5000, 0.5000, 0.5000)
Hg (0.6213, 0.6213, 0.1361)
Hg (0.3787, 0.3787, 0.8639)
Hg (0.8676, 0.8676, 0.3971)
Hg (0.1324, 0.1324, 0.6029)
Cd (0.0000, 0.0000, 0.0000)

The formation energy comes out at -451 meV per atom.


Record 2
# LiV

A relaxed structure of LiV (PBE, Alexandria).

Cell lengths 4.4782, 4.4782, 5.2104 Å; angles 90.00, 90.00, 120.00 degrees
Each line ends with the local moment (μB).
Fractional positions:
Li (0.3333, 0.6667, 0.2500)  0.15
Li (0.6667, 0.3333, 0.7500)  0.15
V (0.6667, 0.3333, 0.2500)  2.98
V (0.3333, 0.6667, 0.7500)  2.98

The value obtained for the relative energy among the computed polymorphs is 1273 meV per atom. The formation energy comes out at 1637 meV per atom.


Record 3
# LaAg2As

A relaxed structure of LaAg2As (PBE, Alexandria).

Cell lengths 5.4987, 5.4987, 5.4987 Å; angles 51.02, 51.02, 51.02 degrees
Fractional positions:
As (0.5365, 0.5365, 0.5365)
Ag (0.2299, 0.2299, 0.2299)
Ag (0.9809, 0.9809, 0.9809)
La (0.7526, 0.7526, 0.7526)

The formation energy comes out at -486 meV per atom.


Record 4
# FeSbIr2

A relaxed structure of FeSbIr2 (PBE, Alexandria).

Cell lengths 4.6389, 4.6389, 3.0084 Å; angles 90.00, 90.00, 103.42 degrees
Each line ends with the local moment (μB).
Fractional positions:
Sb (0.5000, 0.0000, 0.5000)  -0.01
Fe (0.0000, 0.5000, 0.5000)  3.01
Ir (0.0000, 0.0000, 0.0000)  0.28
Ir (0.5000, 0.5000, 0.0000)  0.28

The formation energy without anion corrections comes out at 195 meV per atom.


Record 5
# LaSi3Au3

A relaxed structure of LaSi3Au3 (PBE, Alexandria).

Cell lengths 6.8350, 6.8350, 6.8350 Å; angles 90.00, 90.00, 90.00 degrees
Fractional positions:
Si (0.0000, 0.5000, 0.7500)
Si (0.5000, 0.2500, 0.0000)
Si (0.2500, 0.0000, 0.5000)
Si (0.5000, 0.7500, 0.0000)
Si (0.0000, 0.5000, 0.2500)
Si (0.7500, 0.0000, 0.5000)
Au (0.0000, 0.2500, 0.5000)
Au (0.2500, 0.5000, 0.0000)
Au (0.5000, 0.0000, 0.7500)
Au (0.0000, 0.7500, 0.5000)
Au (0.7500, 0.5000, 0.0000)
Au (0.5000, 0.0000, 0.2500)
La (0.0000, 0.0000, 0.0000)
La (0.5000, 0.5000, 0.5000)

The formation energy without anion corrections comes out at -202 meV per atom.


Record 6
# Er3Pb2O

A relaxed structure of Er3Pb2O (PBE, Alexandria).

Cell lengths 6.4505, 6.8511, 6.8511 Å; angles 102.38, 90.00, 90.00 degrees
Fractional positions:
O (0.7614, 0.9274, 0.9274)
O (0.2614, 0.0726, 0.0726)
Pb (0.7613, 0.1664, 0.4607)
Pb (0.2613, 0.8336, 0.5393)
Pb (0.7613, 0.4607, 0.1664)
Pb (0.2613, 0.5393, 0.8336)
Er (0.7612, 0.6660, 0.6660)
Er (0.5113, 0.1558, 0.8443)
Er (0.2612, 0.3340, 0.3340)
Er (0.0113, 0.8442, 0.1557)
Er (0.5113, 0.8443, 0.1558)
Er (0.0113, 0.1557, 0.8442)

The formation energy without anion corrections comes out at -1184 meV per atom. The value obtained for the relative energy among the computed polymorphs is 145 meV per atom.


Record 7
# SmThPt6

A relaxed structure of SmThPt6 (PBE, Alexandria).

Cell lengths 4.2057, 4.2057, 8.3854 Å; angles 90.00, 90.00, 90.00 degrees
Fractional positions:
Pt (0.0000, 0.5000, 0.2498)
Pt (0.0000, 0.5000, 0.7502)
Pt (0.5000, 0.5000, 0.5000)
Pt (0.5000, 0.5000, 0.0000)
Pt (0.5000, 0.0000, 0.7502)
Pt (0.5000, 0.0000, 0.2498)
Th (0.0000, 0.0000, 0.5000)
Sm (0.0000, 0.0000, 0.0000)

The formation energy comes out at -1053 meV per atom.


Record 8
# Na3Er3TiTe8

A relaxed structure of Na3Er3TiTe8 (PBE, Alexandria).

Cell lengths 8.5822, 8.5790, 9.1626 Å; angles 117.94, 89.98, 120.03 degrees
Each line ends with the local moment (μB).
Fractional positions:
Er (0.5000, 0.5000, 0.5000)  0.00
Er (0.0000, 0.5000, 0.5000)  0.00
Er (0.5000, 0.0000, 0.5000)  0.00
Na (0.0000, 0.0000, 0.0000)  0.00
Na (0.5000, 0.5000, 0.0000)  0.00
Na (0.0000, 0.5000, 0.0000)  0.00
Te (0.7441, 0.4882, 0.7321)  0.00
Te (0.2286, 0.9886, 0.7171)  0.00
Te (0.7713, 0.5426, 0.2828)  0.00
Te (0.2287, 0.4574, 0.7172)  0.00
Te (0.2559, 0.5118, 0.2679)  0.00
Te (0.7600, 0.9886, 0.7171)  0.00
Te (0.7714, 0.0114, 0.2829)  0.00
Te (0.2400, 0.0114, 0.2829)  0.00
Ti (0.0000, 0.0000, 0.5000)  -0.07

The formation energy without anion corrections comes out at -1136 meV per atom.


Record 9
# SmEr3Mg2

A relaxed structure of SmEr3Mg2 (PBE, Alexandria).

Cell lengths 3.6167, 3.6167, 13.1378 Å; angles 90.00, 90.00, 90.00 degrees
Fractional positions:
Er (0.0000, 0.0000, 0.6897)
Er (0.0000, 0.0000, 0.0000)
Er (0.0000, 0.0000, 0.3103)
Mg (0.5000, 0.5000, 0.1527)
Mg (0.5000, 0.5000, 0.8473)
Sm (0.5000, 0.5000, 0.5000)

The formation energy comes out at -37 meV per atom.


Record 10
# Zn2CoHg

A relaxed structure of Zn2CoHg (PBE, Alexandria).

Cell lengths 5.0710, 5.0710, 4.5375 Å; angles 70.14, 70.14, 34.43 degrees
Each line ends with the local moment (μB).
Fractional positions:
Zn (0.0282, 0.0282, 0.9624)  -0.02
Zn (0.4718, 0.4718, 0.5376)  -0.02
Hg (0.2500, 0.2500, 0.2500)  -0.03
Co (0.7500, 0.7500, 0.7500)  0.87

The formation energy comes out at 182 meV per atom.


Record 11
# Sc5BSe4

A relaxed structure of Sc5BSe4 (PBE, Alexandria).

Cell lengths 5.3597, 6.6176, 6.6176 Å; angles 80.56, 66.11, 66.11 degrees
Fractional positions:
Sc (0.7391, 0.1716, 0.3523)
Sc (0.9107, 0.3523, 0.8284)
Sc (0.0914, 0.6477, 0.1716)
Sc (0.2630, 0.8284, 0.6477)
Sc (0.5009, 0.0000, 0.0000)
Se (0.8058, 0.7882, 0.6024)
Se (0.5940, 0.6024, 0.2118)
Se (0.4081, 0.3976, 0.7882)
Se (0.1964, 0.2118, 0.3976)
B (0.0010, 0.0000, 0.0000)

The formation energy without anion corrections comes out at -1426 meV per atom.


Record 12
# Rb2ZrC

A relaxed structure of Rb2ZrC (PBE, Alexandria).

Cell lengths 13.4416, 13.4416, 9.7394 Å; angles 46.36, 46.36, 90.00 degrees
Fractional positions:
Rb (0.3750, 0.5699, 0.7500)
Rb (0.3199, 0.6250, 0.2500)
Rb (0.8750, 0.6801, 0.7500)
Rb (0.4301, 0.1250, 0.2500)
Zr (0.0000, 0.0000, 0.0000)
Zr (0.7500, 0.2500, 0.5000)
C (0.2500, 0.7500, 0.5000)
C (0.5000, 0.5000, 0.0000)

The formation energy comes out at 917 meV per atom.